Record 1
An optimized crystal structure of CdN2O2, computed with PBE.

a = 3.7682 Å, b = 3.7682 Å, c = 3.7276 Å
α = 90.00°, β = 90.00°, γ = 90.00°
With the nearest neighbours (Å) after each atom.
Sites, in units of the cell vectors:
Cd 0.0000 0.0000 0.0000  8 N 2.65, 4 O 2.66
N 0.0000 0.5000 0.5000  2 O 1.88
N 0.5000 0.0000 0.5000  2 O 1.88
O 0.5000 0.5000 0.0000  2 O 1.86
O 0.5000 0.5000 0.5000  2 O 1.86, 4 N 1.88

Output
- D(E_F) (states/eV/cell) = 1.36
- volume (Å³ per atom) = 10.6
- energy (eV per atom) = -3.59
- formation energy without anion corrections (meV/atom) = 1902

---

Record 2
An optimized crystal structure of Na2BiSb2, computed with PBE.

a = 6.9409 Å, b = 6.9409 Å, c = 10.3673 Å
α = 111.95°, β = 111.95°, γ = 44.46°
With the nearest neighbours (Å) after each atom.
Sites, in units of the cell vectors:
Na 0.0045 0.0045 0.1813  4 Sb 3.31-3.46, 2 Bi 3.63
Na 0.1705 0.1705 0.5724  4 Sb 3.25-3.48
Na 0.8295 0.8295 0.4276  4 Sb 3.25-3.48
Na 0.9955 0.9955 0.8187  4 Sb 3.31-3.46, 2 Bi 3.63
Bi 0.3035 0.3035 0.1619  4 Sb 3.01-3.28
Bi 0.6965 0.6965 0.8381  4 Sb 3.01-3.28
Sb 0.3634 0.3634 0.9098  3 Bi 3.01-3.28, 1 Sb 3.24
Sb 0.4523 0.4523 0.6092  1 Sb 2.98, 1 Bi 3.08, 4 Na 3.25-3.31
Sb 0.5477 0.5477 0.3908  1 Sb 2.98, 1 Bi 3.08, 4 Na 3.25-3.31
Sb 0.6366 0.6366 0.0902  3 Bi 3.01-3.28, 1 Sb 3.24

Output
- D(E_F) (states/eV/cell) = 1.72
- volume (Å³ per atom) = 32.0
- energy (eV per atom) = -3.16
- formation energy without anion corrections (meV/atom) = -209

---

Record 3
An optimized crystal structure of Al2FeMoH, computed with PBE.

a = 4.0572 Å, b = 4.0572 Å, c = 3.5285 Å
α = 90.00°, β = 90.00°, γ = 90.00°
With the nearest neighbours (Å) after each atom.
Sites, in units of the cell vectors:
Al 0.0000 0.5000 0.0000  2 H 2.03
Al 0.5000 0.0000 0.0000  2 H 2.03
Fe 0.0000 0.0000 0.5000  2 H 1.76
Mo 0.5000 0.5000 0.5000  8 Al 2.69, 4 Fe 2.87
H 0.0000 0.0000 0.0000  2 Fe 1.76

Output
- D(E_F) (states/eV/cell) = 4.17
- volume (Å³ per atom) = 11.6
- energy (eV per atom) = -6.08

---

Record 4
An optimized crystal structure of La7Zn2Os2, computed with PBE.

a = 7.0431 Å, b = 7.0431 Å, c = 7.2570 Å
α = 90.00°, β = 90.00°, γ = 109.26°
With the nearest neighbours (Å) after each atom.
Sites, in units of the cell vectors:
La 0.0000 0.0000 0.0000  2 Os 3.44, 4 Zn 3.85
La 0.0000 0.5000 0.2591  2 Os 2.83
La 0.0000 0.5000 0.7409  2 Os 2.83
La 0.5000 0.0000 0.2591  2 Os 2.83
La 0.5000 0.0000 0.7409  2 Os 2.83
La 0.5000 0.5000 0.2507  2 Os 2.94
La 0.5000 0.5000 0.7493  2 Os 2.94
Zn 0.1576 0.1576 0.5000  1 Zn 2.57
Zn 0.8424 0.8424 0.5000  1 Zn 2.57
Os 0.2993 0.7007 0.0000  6 La 2.83-2.94
Os 0.7007 0.2993 0.0000  6 La 2.83-2.94

Output
- D(E_F) (states/eV/cell) = 13.03
- volume (Å³ per atom) = 30.9
- energy (eV per atom) = -5.53
- formation energy (eV/atom) = -0.1200

---

Record 5
An optimized crystal structure of TeP2Pb, computed with PBE.

a = 5.1750 Å, b = 4.0266 Å, c = 5.2895 Å
α = 90.00°, β = 101.26°, γ = 90.00°
With the nearest neighbours (Å) after each atom.
Sites, in units of the cell vectors:
Te 0.0000 0.0000 0.0000  4 P 2.84
P 0.3246 0.5000 0.8465  1 P 2.19
P 0.6754 0.5000 0.1535  1 P 2.19
Pb 0.5000 0.0000 0.5000  4 P 2.98, 2 Te 3.32

Output
- D(E_F) (states/eV/cell) = 1.36
- volume (Å³ per atom) = 27.0
- energy (eV per atom) = -4.28
- formation energy without anion corrections (meV/atom) = 139

---

Record 6
An optimized crystal structure of DyThSc2, computed with PBE.

a = 3.8914 Å, b = 3.8914 Å, c = 7.4095 Å
α = 90.00°, β = 90.00°, γ = 90.00°
With the nearest neighbours (Å) after each atom.
Sites, in units of the cell vectors:
Dy 0.0000 0.0000 0.0000  8 Sc 3.34, 2 Th 3.70
Th 0.0000 0.0000 0.5000  8 Sc 3.29
Sc 0.5000 0.5000 0.2565  4 Th 3.29, 4 Dy 3.34, 1 Sc 3.61
Sc 0.5000 0.5000 0.7435  4 Th 3.29, 4 Dy 3.34, 1 Sc 3.61

Output
- D(E_F) (states/eV/cell) = 6.57
- volume (Å³ per atom) = 28.1
- energy (eV per atom) = -6.11
- formation energy (eV/atom) = 0.0569

---

Record 7
An optimized crystal structure of Ac8GaRh3I3, computed with PBE.

a = 8.9510 Å, b = 8.9510 Å, c = 9.7880 Å
α = 117.25°, β = 117.25°, γ = 59.92°
With the nearest neighbours (Å) after each atom.
Sites, in units of the cell vectors:
Ac 0.2122 0.7407 0.6931  2 Rh 2.98, 1 Ga 3.16
Ac 0.2312 0.2312 0.6926  3 Rh 3.04
Ac 0.2593 0.7878 0.3069  2 Rh 2.98, 1 Ga 3.16
Ac 0.2595 0.2595 0.3066  2 Rh 2.98, 1 Ga 3.17
Ac 0.7405 0.7405 0.6934  2 Rh 2.98, 1 Ga 3.17
Ac 0.7407 0.2122 0.6931  2 Rh 2.98, 1 Ga 3.16
Ac 0.7688 0.7688 0.3074  3 Rh 3.04
Ac 0.7878 0.2593 0.3069  2 Rh 2.98, 1 Ga 3.16
Ga 0.5000 0.5000 0.5000  6 Ac 3.16-3.17
Rh 0.0000 0.0000 0.5000  6 Ac 2.98-3.04
Rh 0.0000 0.5000 0.5000  6 Ac 2.98-3.04
Rh 0.5000 0.0000 0.5000  6 Ac 2.98-3.04
I 0.0000 0.5000 0.0000  6 Ac 3.63-3.68
I 0.5000 0.0000 0.0000  6 Ac 3.63-3.68
I 0.5000 0.5000 0.0000  6 Ac 3.63-3.69

Output
- D(E_F) (states/eV/cell) = 11.65
- volume (Å³ per atom) = 38.4
- energy (eV per atom) = -4.98
- formation energy without anion corrections (meV/atom) = -811

---

Record 8
An optimized crystal structure of Pr4Ni2Ag, computed with PBE.

a = 6.6293 Å, b = 6.6293 Å, c = 13.8257 Å
α = 90.00°, β = 90.00°, γ = 140.34°
With the nearest neighbours (Å) after each atom.
Sites, in units of the cell vectors:
Pr 0.0000 0.0000 0.0000  4 Ni 2.86
Pr 0.0000 0.0000 0.5000  4 Ni 2.86
Pr 0.2663 0.7337 0.6113  3 Ni 2.72-2.95
Pr 0.2663 0.7337 0.8887  3 Ni 2.72-2.95
Pr 0.4418 0.5582 0.2500  2 Ni 2.76
Pr 0.5582 0.4418 0.7500  2 Ni 2.76
Pr 0.7337 0.2663 0.1113  3 Ni 2.72-2.95
Pr 0.7337 0.2663 0.3887  3 Ni 2.72-2.95
Ni 0.3750 0.6250 0.0596  6 Pr 2.72-2.95
Ni 0.3750 0.6250 0.4404  6 Pr 2.72-2.95
Ni 0.6250 0.3750 0.5596  6 Pr 2.72-2.95
Ni 0.6250 0.3750 0.9404  6 Pr 2.72-2.95
Ag 0.1253 0.8747 0.2500  6 Pr 3.21-3.25
Ag 0.8747 0.1253 0.7500  6 Pr 3.21-3.25

Output
- D(E_F) (states/eV/cell) = 10.63
- volume (Å³ per atom) = 27.7
- energy (eV per atom) = -4.94
- formation energy (eV/atom) = -0.1535

---

Record 9
An optimized crystal structure of Fe2Sb2Au, computed with PBE.

a = 8.5439 Å, b = 8.5439 Å, c = 8.5439 Å
α = 156.87°, β = 156.87°, γ = 32.93°
With the nearest neighbours (Å) after each atom.
Sites, in units of the cell vectors:
Fe 0.2500 0.7500 0.5000  4 Fe 2.42, 4 Sb 2.68
Fe 0.7500 0.2500 0.5000  4 Fe 2.42, 4 Sb 2.68
Sb 0.1238 0.1238 0.0000  4 Fe 2.68
Sb 0.8762 0.8762 0.0000  4 Fe 2.68
Au 0.5000 0.5000 0.0000  8 Sb 3.16, 4 Au 3.43

Output
- D(E_F) (states/eV/cell) = 4.20
- volume (Å³ per atom) = 19.2
- energy (eV per atom) = -5.44
- formation energy without anion corrections (meV/atom) = 246

---

Record 10
An optimized crystal structure of InTePd2C, computed with PBE.

a = 5.0162 Å, b = 5.0162 Å, c = 5.6148 Å
α = 90.00°, β = 90.00°, γ = 90.00°
With the nearest neighbours (Å) after each atom.
Sites, in units of the cell vectors:
In 0.0000 0.0000 0.0000  4 Pd 2.51, 2 Te 2.81
Te 0.0000 0.0000 0.5000  2 In 2.81
Pd 0.0000 0.5000 0.0000  2 In 2.51
Pd 0.5000 0.0000 0.0000  2 In 2.51
C 0.5000 0.5000 0.5000  4 Te 3.55, 8 Pd 3.76

Output
- D(E_F) (states/eV/cell) = 2.43
- volume (Å³ per atom) = 28.3
- energy (eV per atom) = -3.16
- formation energy without anion corrections (meV/atom) = 1936

---

Record 11
An optimized crystal structure of LuZn5, computed with PBE.

a = 8.8416 Å, b = 8.8416 Å, c = 8.9598 Å
α = 90.00°, β = 90.00°, γ = 120.00°
With the nearest neighbours (Å) after each atom.
Sites, in units of the cell vectors:
Lu 0.1940 0.3880 0.2500  14 Zn 2.99-3.26
Lu 0.1940 0.8060 0.2500  14 Zn 2.99-3.26
Lu 0.3880 0.1940 0.7500  14 Zn 2.99-3.26
Lu 0.6120 0.8060 0.2500  14 Zn 2.99-3.26
Lu 0.8060 0.1940 0.7500  14 Zn 2.99-3.26
Lu 0.8060 0.6120 0.7500  14 Zn 2.99-3.26
Zn 0.0000 0.0000 0.0000  6 Zn 2.57
Zn 0.0000 0.0000 0.5000  6 Zn 2.57
Zn 0.0000 0.5000 0.0000  8 Zn 2.47-2.75
Zn 0.0000 0.5000 0.5000  8 Zn 2.47-2.75
Zn 0.1348 0.5674 0.7500  8 Zn 2.47-2.71
Zn 0.1589 0.3179 0.5938  7 Zn 2.57-2.85
Zn 0.1589 0.3179 0.9062  7 Zn 2.57-2.85
Zn 0.1589 0.8411 0.5938  7 Zn 2.57-2.85
Zn 0.1589 0.8411 0.9062  7 Zn 2.57-2.85
Zn 0.3179 0.1589 0.0938  7 Zn 2.57-2.85
Zn 0.3179 0.1589 0.4062  7 Zn 2.57-2.85
Zn 0.3333 0.6667 0.0162  9 Zn 2.56-2.85
Zn 0.3333 0.6667 0.4838  9 Zn 2.56-2.85
Zn 0.4326 0.5674 0.7500  8 Zn 2.47-2.71
Zn 0.4326 0.8652 0.7500  8 Zn 2.47-2.71
Zn 0.5000 0.0000 0.0000  8 Zn 2.47-2.75
Zn 0.5000 0.0000 0.5000  8 Zn 2.47-2.75
Zn 0.5000 0.5000 0.0000  8 Zn 2.47-2.75
Zn 0.5000 0.5000 0.5000  8 Zn 2.47-2.75
Zn 0.5674 0.1348 0.2500  8 Zn 2.47-2.71
Zn 0.5674 0.4326 0.2500  8 Zn 2.47-2.71
Zn 0.6667 0.3333 0.5162  9 Zn 2.56-2.85
Zn 0.6667 0.3333 0.9838  9 Zn 2.56-2.85
Zn 0.6821 0.8411 0.5938  7 Zn 2.57-2.85
Zn 0.6821 0.8411 0.9062  7 Zn 2.57-2.85
Zn 0.8411 0.1589 0.0938  7 Zn 2.57-2.85
Zn 0.8411 0.1589 0.4062  7 Zn 2.57-2.85
Zn 0.8411 0.6821 0.0938  7 Zn 2.57-2.85
Zn 0.8411 0.6821 0.4062  7 Zn 2.57-2.85
Zn 0.8652 0.4326 0.2500  8 Zn 2.47-2.71

Output
- D(E_F) (states/eV/cell) = 11.65
- volume (Å³ per atom) = 16.8
- energy (eV per atom) = -2.05
- formation energy (eV/atom) = -0.2352

---

Record 12
An optimized crystal structure of MgHg2SbMo, computed with PBE.

a = 5.6847 Å, b = 5.6847 Å, c = 5.3362 Å
α = 90.00°, β = 90.00°, γ = 90.00°
With the nearest neighbours (Å) after each atom.
Sites, in units of the cell vectors:
Mg 0.0000 0.0000 0.0000  2 Sb 2.67
Hg 0.0000 0.5000 0.5000  2 Sb 2.84
Hg 0.5000 0.0000 0.5000  2 Sb 2.84
Sb 0.0000 0.0000 0.5000  2 Mg 2.67, 4 Hg 2.84
Mo 0.5000 0.5000 0.0000  8 Hg 3.90, 4 Mg 4.02

Output
- D(E_F) (states/eV/cell) = 2.27
- volume (Å³ per atom) = 34.5
- energy (eV per atom) = -2.26
- formation energy without anion corrections (meV/atom) = 1171